1.
VASP calculation (PBE-GGA) on an optimized crystal structure of NbSiW.

## Properties
Mass density   10.77 Mg/m³
Space-group type   Pmma
Formation energy from raw total energies   -1.13 eV per formula unit
D(E_F)   10.97 states/eV per cell

Lattice parameters (Å, degrees): 3.3994 6.9681 11.9031 90.00 90.00 90.00
Positions (direct):
Nb1 0.0000 0.2315 0.9504
Nb2 0.0000 0.7685 0.0496
Nb3 0.0000 0.2315 0.5496
Nb4 0.0000 0.7685 0.4504
Nb5 0.0000 0.1653 0.2500
Nb6 0.0000 0.8347 0.7500
Si1 0.5000 0.0651 0.0944
Si2 0.5000 0.9349 0.9056
Si3 0.5000 0.0651 0.4056
Si4 0.5000 0.9349 0.5944
Si5 0.0000 0.5551 0.2500
Si6 0.0000 0.4449 0.7500
W1 0.5000 0.4352 0.1129
W2 0.5000 0.5648 0.8871
W3 0.5000 0.4352 0.3871
W4 0.5000 0.5648 0.6129
W5 0.5000 0.8130 0.2500
W6 0.5000 0.1870 0.7500


2.
VASP calculation (PBE-GGA) on an optimized crystal structure of YNb2Si2.

## Properties
Mass density   5.45 Mg/m³
Space-group type   I4/mmm
Formation energy from raw total energies   -1.02 eV per formula unit
Energy above the most stable polymorph in this dataset   486 meV/atom
D(E_F)   3.28 states/eV per cell

Lattice parameters (Å, degrees): 4.8237 4.8237 5.5115 64.05 64.05 90.00
Positions (direct):
Y1 0.0000 0.0000 0.0000
Nb1 0.3492 0.3492 0.3015
Nb2 0.6508 0.6508 0.6985
Si1 0.7500 0.2500 0.5000
Si2 0.2500 0.7500 0.5000


3.
VASP calculation (PBE-GGA) on an optimized crystal structure of YNb2Si2.

## Properties
Mass density   5.80 Mg/m³
Space-group type   I4/mmm
Formation energy from raw total energies   -3.45 eV per formula unit
Energy above the most stable polymorph in this dataset   0 meV/atom
D(E_F)   2.33 states/eV per cell

Lattice parameters (Å, degrees): 4.0234 4.0234 6.5026 71.98 71.98 90.00
Positions (direct):
Y1 0.0000 0.0000 0.0000
Nb1 0.7500 0.2500 0.5000
Nb2 0.2500 0.7500 0.5000
Si1 0.3985 0.3985 0.2031
Si2 0.6015 0.6015 0.7969


4.
VASP calculation (PBE-GGA) on an optimized crystal structure of YNb3Si.

## Properties
Mass density   5.58 Mg/m³
Space-group type   Pm-3m
Formation energy from raw total energies   10.78 eV per formula unit
Energy above the most stable polymorph in this dataset   1775 meV/atom
D(E_F)   5.01 states/eV per cell

Lattice parameters (Å, degrees): 4.9028 4.9028 4.9028 90.00 90.00 90.00
Positions (direct):
Y1 0.0000 0.0000 0.0000
Nb1 0.0000 0.5000 0.0000
Nb2 0.0000 0.0000 0.5000
Nb3 0.5000 0.0000 0.0000
Si1 0.5000 0.5000 0.5000


5.
VASP calculation (PBE-GGA) on an optimized crystal structure of YNb2Si2.

## Properties
Mass density   6.16 Mg/m³
Space-group type   P4/mbm
Formation energy from raw total energies   -2.90 eV per formula unit
Energy above the most stable polymorph in this dataset   111 meV/atom
D(E_F)   5.87 states/eV per cell

Lattice parameters (Å, degrees): 7.1514 7.1514 3.4867 90.00 90.00 90.00
Positions (direct):
Y1 0.0000 0.0000 0.0000
Y2 0.5000 0.5000 0.0000
Nb1 0.1667 0.6667 0.5000
Nb2 0.6667 0.8333 0.5000
Nb3 0.8333 0.3333 0.5000
Nb4 0.3333 0.1667 0.5000
Si1 0.3782 0.8782 0.0000
Si2 0.8782 0.6218 0.0000
Si3 0.6218 0.1218 0.0000
Si4 0.1218 0.3782 0.0000


6.
VASP calculation (PBE-GGA) on an optimized crystal structure of Y3NbSi.

## Properties
Mass density   4.17 Mg/m³
Space-group type   Pm-3m
Formation energy from raw total energies   2.23 eV per formula unit
Energy above the most stable polymorph in this dataset   0 meV/atom
D(E_F)   5.52 states/eV per cell

Lattice parameters (Å, degrees): 5.3660 5.3660 5.3660 90.00 90.00 90.00
Each line ends with the local moment (μB).
Positions (direct):
Y1 0.0000 0.5000 0.0000  0.10
Y2 0.0000 0.0000 0.5000  0.14
Y3 0.5000 0.0000 0.0000  0.07
Nb1 0.5000 0.5000 0.5000  2.21
Si1 0.0000 0.0000 0.0000  0.04


7.
VASP calculation (PBE-GGA) on an optimized crystal structure of Y2NbSi.

## Properties
Mass density   5.22 Mg/m³
Space-group type   I-42d
Formation energy from raw total energies   1.33 eV per formula unit
D(E_F)   10.35 states/eV per cell

Lattice parameters (Å, degrees): 8.2532 8.2532 6.4694 50.37 50.37 90.00
Positions (direct):
Y1 0.5828 0.1250 0.2500
Y2 0.1672 0.6250 0.2500
Y3 0.3750 0.4172 0.7500
Y4 0.8750 0.8328 0.7500
Nb1 0.0000 0.0000 0.0000
Nb2 0.7500 0.2500 0.5000
Si1 0.5000 0.5000 0.0000
Si2 0.2500 0.7500 0.5000


8.
VASP calculation (PBE-GGA) on an optimized crystal structure of Y3NbSi.

## Properties
Mass density   4.28 Mg/m³
Space-group type   Pm-3m
Formation energy from raw total energies   3.66 eV per formula unit
Energy above the most stable polymorph in this dataset   286 meV/atom
D(E_F)   3.68 states/eV per cell

Lattice parameters (Å, degrees): 5.3178 5.3178 5.3178 90.00 90.00 90.00
Positions (direct):
Y1 0.0000 0.5000 0.0000
Y2 0.0000 0.0000 0.5000
Y3 0.5000 0.0000 0.0000
Nb1 0.0000 0.0000 0.0000
Si1 0.5000 0.5000 0.5000


9.
VASP calculation (PBE-GGA) on an optimized crystal structure of YNb3Si.

## Properties
Mass density   5.93 Mg/m³
Space-group type   Pm-3m
Formation energy from raw total energies   1.90 eV per formula unit
Energy above the most stable polymorph in this dataset   0 meV/atom
D(E_F)   6.73 states/eV per cell

Lattice parameters (Å, degrees): 4.8035 4.8035 4.8035 90.00 90.00 90.00
Positions (direct):
Y1 0.5000 0.5000 0.5000
Nb1 0.0000 0.5000 0.0000
Nb2 0.0000 0.0000 0.5000
Nb3 0.5000 0.0000 0.0000
Si1 0.0000 0.0000 0.0000


10.
VASP calculation (PBE-GGA) on an optimized crystal structure of YNb2Si.

## Properties
Mass density   6.10 Mg/m³
Space-group type   I-42d
Formation energy from raw total energies   0.99 eV per formula unit
D(E_F)   8.79 states/eV per cell

Lattice parameters (Å, degrees): 4.0441 4.0441 10.4842 78.88 78.88 90.00
Positions (direct):
Y1 0.0000 0.0000 0.0000
Y2 0.7500 0.2500 0.5000
Nb1 0.6011 0.1250 0.2500
Nb2 0.1489 0.6250 0.2500
Nb3 0.3750 0.3989 0.7500
Nb4 0.8750 0.8511 0.7500
Si1 0.5000 0.5000 0.0000
Si2 0.2500 0.7500 0.5000


11.
VASP calculation (PBE-GGA) on an optimized crystal structure of YNbSi.

## Properties
Mass density   5.61 Mg/m³
Space-group type   P-62m
Formation energy from raw total energies   -1.55 eV per formula unit
D(E_F)   15.85 states/eV per cell

Lattice parameters (Å, degrees): 7.2128 8.3163 8.3163 59.72 64.30 64.30
Positions (direct):
Y1 0.2568 0.9541 0.4541
Y2 0.6650 0.0459 0.5459
Y3 0.6648 0.5460 0.0460
Y4 0.2568 0.4540 0.9540
Y5 0.8489 0.2500 0.7500
Y6 0.8488 0.7500 0.2500
Nb1 0.4876 0.5000 0.5000
Nb2 0.4876 0.0000 0.0000
Nb3 0.2573 0.8842 0.8846
Nb4 0.0261 0.1158 0.1154
Nb5 0.0261 0.6154 0.6158
Nb6 0.2573 0.3846 0.3842
Si1 0.2566 0.7502 0.2502
Si2 0.2569 0.2498 0.7498
Si3 0.5903 0.6666 0.6666
Si4 0.9235 0.3334 0.3334
Si5 0.9235 0.8334 0.8334
Si6 0.5903 0.1666 0.1666


12.
VASP calculation (PBE-GGA) on an optimized crystal structure of NbZnSi2.

## Properties
Mass density   5.46 Mg/m³
Space-group type   I-42d
Formation energy from raw total energies   1.14 eV per formula unit
D(E_F)   9.38 states/eV per cell

Lattice parameters (Å, degrees): 6.9400 6.9400 5.6043 51.74 51.74 90.00
Positions (direct):
Nb1 0.0000 0.0000 0.0000
Nb2 0.7500 0.2500 0.5000
Si1 0.6039 0.1250 0.2500
Si2 0.1461 0.6250 0.2500
Si3 0.3750 0.3961 0.7500
Si4 0.8750 0.8539 0.7500
Zn1 0.5000 0.5000 0.0000
Zn2 0.2500 0.7500 0.5000


13.
VASP calculation (PBE-GGA) on an optimized crystal structure of Nb2ZnSi.

## Properties
Mass density   6.76 Mg/m³
Space-group type   I-42d
Formation energy from raw total energies   0.14 eV per formula unit
D(E_F)   3.19 states/eV per cell

Lattice parameters (Å, degrees): 7.0240 7.0240 5.6916 51.90 51.90 90.00
Positions (direct):
Nb1 0.6141 0.1250 0.2500
Nb2 0.1359 0.6250 0.2500
Nb3 0.3750 0.3859 0.7500
Nb4 0.8750 0.8641 0.7500
Si1 0.5000 0.5000 0.0000
Si2 0.2500 0.7500 0.5000
Zn1 0.0000 0.0000 0.0000
Zn2 0.7500 0.2500 0.5000


14.
VASP calculation (PBE-GGA) on an optimized crystal structure of Nb2ZnSi.

## Properties
Mass density   6.65 Mg/m³
Space-group type   R-3m
Formation energy from raw total energies   -0.12 eV per formula unit
D(E_F)   2.21 states/eV per cell

Lattice parameters (Å, degrees): 3.6355 3.6355 6.4489 73.63 73.63 60.00
Positions (direct):
Nb1 0.2562 0.2562 0.2315
Nb2 0.7438 0.7438 0.7685
Si1 0.0000 0.0000 0.0000
Zn1 0.5000 0.5000 0.5000


15.
VASP calculation (PBE-GGA) on an optimized crystal structure of NbZn3Si.

## Properties
Mass density   5.71 Mg/m³
Space-group type   Pm-3m
Formation energy from raw total energies   4.47 eV per formula unit
Energy above the most stable polymorph in this dataset   0 meV/atom
D(E_F)   4.39 states/eV per cell

Lattice parameters (Å, degrees): 4.5194 4.5194 4.5194 90.00 90.00 90.00
Positions (direct):
Nb1 0.5000 0.5000 0.5000
Si1 0.0000 0.0000 0.0000
Zn1 0.0000 0.5000 0.0000
Zn2 0.0000 0.0000 0.5000
Zn3 0.5000 0.0000 0.0000


16.
VASP calculation (PBE-GGA) on an optimized crystal structure of NbZn2Si.

## Properties
Mass density   6.39 Mg/m³
Space-group type   I-42d
Formation energy from raw total energies   0.54 eV per formula unit
D(E_F)   4.60 states/eV per cell

Lattice parameters (Å, degrees): 7.1590 7.1590 5.6700 50.85 50.85 90.00
Positions (direct):
Nb1 0.0000 0.0000 0.0000
Nb2 0.7500 0.2500 0.5000
Si1 0.5000 0.5000 0.0000
Si2 0.2500 0.7500 0.5000
Zn1 0.5940 0.1250 0.2500
Zn2 0.1560 0.6250 0.2500
Zn3 0.3750 0.4060 0.7500
Zn4 0.8750 0.8440 0.7500


17.
VASP calculation (PBE-GGA) on an optimized crystal structure of NbZn3Si.

## Properties
Mass density   4.24 Mg/m³
Space-group type   Pm-3m
Formation energy from raw total energies   6.52 eV per formula unit
Energy above the most stable polymorph in this dataset   412 meV/atom
D(E_F)   4.79 states/eV per cell

Lattice parameters (Å, degrees): 4.9911 4.9911 4.9911 90.00 90.00 90.00
Positions (direct):
Nb1 0.0000 0.0000 0.0000
Si1 0.5000 0.5000 0.5000
Zn1 0.0000 0.5000 0.0000
Zn2 0.0000 0.0000 0.5000
Zn3 0.5000 0.0000 0.0000


18.
VASP calculation (PBE-GGA) on an optimized crystal structure of Nb3ZnSi.

## Properties
Mass density   6.07 Mg/m³
Space-group type   Pm-3m
Formation energy from raw total energies   3.35 eV per formula unit
Energy above the most stable polymorph in this dataset   0 meV/atom
D(E_F)   8.29 states/eV per cell

Lattice parameters (Å, degrees): 4.6696 4.6696 4.6696 90.00 90.00 90.00
Positions (direct):
Nb1 0.0000 0.5000 0.0000
Nb2 0.0000 0.0000 0.5000
Nb3 0.5000 0.0000 0.0000
Si1 0.0000 0.0000 0.0000
Zn1 0.5000 0.5000 0.5000


19.
VASP calculation (PBE-GGA) on an optimized crystal structure of NbZn2Si2.

## Properties
Mass density   5.92 Mg/m³
Space-group type   P4/mbm
Formation energy from raw total energies   0.33 eV per formula unit
D(E_F)   6.07 states/eV per cell

Lattice parameters (Å, degrees): 6.6965 6.6965 3.5041 90.00 90.00 90.00
Positions (direct):
Nb1 0.0000 0.0000 0.0000
Nb2 0.5000 0.5000 0.0000
Si1 0.3690 0.8690 0.0000
Si2 0.8690 0.6310 0.0000
Si3 0.6310 0.1310 0.0000
Si4 0.1310 0.3690 0.0000
Zn1 0.1676 0.6676 0.5000
Zn2 0.6676 0.8324 0.5000
Zn3 0.8324 0.3324 0.5000
Zn4 0.3324 0.1676 0.5000


20.
VASP calculation (PBE-GGA) on an optimized crystal structure of ZrNbZn2Si.

## Properties
Mass density   4.96 Mg/m³
Space-group type   P4/mmm
Formation energy from raw total energies   6.59 eV per formula unit
D(E_F)   9.28 states/eV per cell

Lattice parameters (Å, degrees): 4.8814 4.8211 4.8814 90.00 90.00 90.00
Positions (direct):
Nb1 0.5000 0.5000 0.5000
Si1 0.0000 0.5000 0.0000
Zn1 0.0000 0.0000 0.5000
Zn2 0.5000 0.0000 0.0000
Zr1 0.0000 0.0000 0.0000